DFT (PBE-GGA) results for SrNdCu2Ge2 after structural relaxation.

As for the space-group type: P-3m1. Its formation energy is -0.547 eV per atom.

abc: 4.2636 4.2636 8.5436
angles: 90.00 90.00 120.00
Element x y z (fractional)
Sr: 0.0000 0.0000 0.0000
Nd: 0.0000 0.0000 0.5000
Cu: 0.3333 0.6667 0.7345
Cu: 0.6667 0.3333 0.2655
Ge: 0.3333 0.6667 0.2676
Ge: 0.6667 0.3333 0.7324



DFT (PBE-GGA) results for ScCoPd after structural relaxation.

As for the space-group type: R-3m. Its formation energy is -0.133 eV per atom.

abc: 3.0351 3.0351 12.2129
angles: 82.86 82.86 60.00
Each line ends with the local moment (μB).
Element x y z (fractional)
Sc: 0.5897 0.5897 0.2308  -0.16
Sc: 0.4103 0.4103 0.7692  -0.16
Co: 0.3111 0.3111 0.0668  1.39
Co: 0.6889 0.6889 0.9332  1.39
Pd: 0.8653 0.8653 0.4041  0.00
Pd: 0.1347 0.1347 0.5959  0.00



DFT (PBE-GGA) results for NaCu2Hg2 after structural relaxation.

The distance to the lowest polymorph of the same formula comes out at 0.068 eV/atom. As for the space-group type: I4/mmm. Its formation energy is 0.110 eV per atom.

abc: 4.7743 4.7743 5.8368
angles: 65.86 65.86 90.00
Element x y z (fractional)
Na: 0.0000 0.0000 0.0000
Hg: 0.7500 0.2500 0.5000
Hg: 0.2500 0.7500 0.5000
Cu: 0.3761 0.3761 0.2478
Cu: 0.6239 0.6239 0.7522



DFT (PBE-GGA) results for BeSiW2 after structural relaxation.

The total energy comes out at -8.62 eV per atom. As for the space-group type: P2/m.

abc: 3.8952 2.7253 5.2857
angles: 78.68 90.00 90.00
Element x y z (fractional)
Be: 0.5000 0.2500 0.2500
Si: 0.5000 0.7500 0.7500
W: 0.0000 0.9897 0.0071
W: 0.0000 0.5103 0.4929



DFT (PBE-GGA) results for RbYAs2Se after structural relaxation.

The distance to the lowest polymorph of the same formula comes out at 1.271 eV/atom. As for the space-group type: P4/mmm.

abc: 5.3479 5.3479 5.5601
angles: 90.00 90.00 90.00
Element x y z (fractional)
Y: 0.5000 0.5000 0.5000
As: 0.0000 0.5000 0.0000
As: 0.5000 0.0000 0.0000
Se: 0.0000 0.0000 0.5000
Rb: 0.0000 0.0000 0.0000



DFT (PBE-GGA) results for BiS2BrCl after structural relaxation.

The distance to the lowest polymorph of the same formula comes out at 0.000 eV/atom. As for the space-group type: P4/mmm.

abc: 5.4466 5.4466 5.3127
angles: 90.00 90.00 90.00
Each line ends with the local moment (μB).
Element x y z (fractional)
S: 0.0000 0.5000 0.0000  0.61
S: 0.5000 0.0000 0.0000  0.61
Bi: 0.0000 0.0000 0.0000  0.00
Br: 0.5000 0.5000 0.5000  0.66
Cl: 0.0000 0.0000 0.5000  0.03



DFT (PBE-GGA) results for KRb2BaCo after structural relaxation.

As for the space-group type: P4/mmm. Its formation energy is 0.522 eV per atom.

abc: 7.0899 7.0899 6.0120
angles: 90.00 90.00 90.00
Each line ends with the local moment (μB).
Element x y z (fractional)
K: 0.5000 0.5000 0.5000  0.00
Co: 0.0000 0.0000 0.0000  1.62
Ba: 0.0000 0.0000 0.5000  -0.10
Rb: 0.0000 0.5000 0.0000  -0.01
Rb: 0.5000 0.0000 0.0000  -0.01



DFT (PBE-GGA) results for MgFe2Mo2 after structural relaxation.

The distance to the lowest polymorph of the same formula comes out at 0.127 eV/atom. As for the space-group type: P4/mbm. Its formation energy is 0.312 eV per atom.

abc: 7.3600 7.3600 2.7014
angles: 90.00 90.00 90.00
Element x y z (fractional)
Mg: 0.0000 0.0000 0.0000
Mg: 0.5000 0.5000 0.0000
Mo: 0.3526 0.8526 0.0000
Mo: 0.8526 0.6474 0.0000
Mo: 0.6474 0.1474 0.0000
Mo: 0.1474 0.3526 0.0000
Fe: 0.1424 0.6424 0.5000
Fe: 0.6424 0.8576 0.5000
Fe: 0.8576 0.3576 0.5000
Fe: 0.3576 0.1424 0.5000